# RbNaPtO2 PBE optimized geometry
data_RbNaPtO2
_chemical_formula_sum 'Rb1 Na1 Pt1 O2'
_cell_length_a 4.250
_cell_length_b 4.250
_cell_length_c 4.937
_cell_angle_alpha 90.00
_cell_angle_beta 90.00
_cell_angle_gamma 90.00
_space_group_name_H-M_alt 'P 4/m m m'
_space_group_IT_number 123
_space_group_name_Hall '-P 4 2'
loop_
_atom_site_label
_atom_site_type_symbol
_atom_site_fract_x
_atom_site_fract_y
_atom_site_fract_z
Rb1 Rb 0.000 0.000 0.000
Na1 Na 0.500 0.500 0.000
Pt1 Pt 0.500 0.500 0.500
O1 O 0.000 0.500 0.500
# Formation energy (no corrections): -1.5 eV/f.u.
# Electronic total energy: -19.7 eV/f.u.

=====

# ZnRh2Pb PBE optimized geometry
data_ZnRh2Pb
_chemical_formula_sum 'Zn1 Rh2 Pb1'
_cell_length_a 3.400
_cell_length_b 3.400
_cell_length_c 5.981
_cell_angle_alpha 90.00
_cell_angle_beta 90.00
_cell_angle_gamma 90.00
_space_group_name_H-M_alt 'P 4 m m'
_space_group_IT_number 99
loop_
_space_group_symop_operation_xyz
'x,y,z'
'-y,x,z'
'-x,-y,z'
'y,-x,z'
'-x,y,z'
'y,x,z'
'x,-y,z'
'-y,-x,z'
loop_
_atom_site_label
_atom_site_type_symbol
_atom_site_fract_x
_atom_site_fract_y
_atom_site_fract_z
Zn1 Zn 0.000 0.000 0.000
Rh1 Rh 0.000 0.000 0.563
Rh2 Rh 0.500 0.500 0.852
Pb1 Pb 0.500 0.500 0.330
# Energy of formation from the pure elements: 0.0419 eV/atom
# Electronic total energy: -19.5 eV/f.u.

=====

# TlCd2Os PBE optimized geometry
data_TlCd2Os
_chemical_formula_sum 'Tl4 Cd8 Os4'
_cell_length_a 4.084
_cell_length_b 4.084
_cell_length_c 20.641
_cell_angle_alpha 90.00
_cell_angle_beta 90.00
_cell_angle_gamma 90.00
_space_group_name_H-M_alt 'I -4 2 d'
_space_group_IT_number 122
_space_group_name_Hall 'I -4 2bw'
loop_
_atom_site_label
_atom_site_type_symbol
_atom_site_fract_x
_atom_site_fract_y
_atom_site_fract_z
Tl1 Tl 0.000 0.000 0.000
Cd1 Cd 0.226 0.250 0.625
Os1 Os 0.000 0.000 0.500
# Energy of formation from the pure elements: 0.8282 eV/atom
# Electronic total energy: -12.1 eV/f.u.

=====

# Tl3CrCl4 PBE optimized geometry
data_Tl3CrCl4
_chemical_formula_sum 'Tl6 Cr2 Cl8'
_cell_length_a 7.735
_cell_length_b 7.735
_cell_length_c 7.735
_cell_angle_alpha 90.00
_cell_angle_beta 90.00
_cell_angle_gamma 90.00
_space_group_name_H-M_alt 'I -4 3 m'
_space_group_IT_number 217
_space_group_name_Hall 'I -4 2 3'
loop_
_atom_site_label
_atom_site_type_symbol
_atom_site_fract_x
_atom_site_fract_y
_atom_site_fract_z
Tl1 Tl 0.000 0.000 0.500
Cr1 Cr 0.000 0.000 0.000
Cl1 Cl 0.188 0.188 0.812
# Formation energy (no corrections): -6.0 eV/f.u.
# Electronic total energy: -30.1 eV/f.u.

=====

# Tm2Ag5F12 PBE optimized geometry
data_Tm2Ag5F12
_chemical_formula_sum 'Tm4 Ag10 F24'
_cell_length_a 11.026
_cell_length_b 6.808
_cell_length_c 8.940
_cell_angle_alpha 90.00
_cell_angle_beta 96.81
_cell_angle_gamma 90.00
_space_group_name_H-M_alt 'C 1 2/m 1'
_space_group_IT_number 12
loop_
_space_group_symop_operation_xyz
'x,y,z'
'-x,-y,-z'
'-x,y,-z'
'x,-y,z'
'x+1/2,y+1/2,z'
'-x+1/2,-y+1/2,-z'
'-x+1/2,y+1/2,-z'
'x+1/2,-y+1/2,z'
loop_
_atom_site_label
_atom_site_type_symbol
_atom_site_fract_x
_atom_site_fract_y
_atom_site_fract_z
Tm1 Tm 0.000 0.247 0.000
Ag1 Ag 0.000 0.000 0.500
Ag2 Ag 0.193 0.500 0.375
Ag3 Ag 0.231 0.500 0.696
F1 F 0.084 0.500 0.903
F2 F 0.087 0.000 0.906
F3 F 0.131 0.238 0.568
F4 F 0.138 0.245 0.186
# Formation energy (no corrections): -43.6 eV/f.u.
# Electronic total energy: -89.2 eV/f.u.

=====

# Ba3NdSn8 PBE optimized geometry
data_Ba3NdSn8
_chemical_formula_sum 'Ba6 Nd2 Sn16'
_cell_length_a 9.662
_cell_length_b 9.662
_cell_length_c 10.397
_cell_angle_alpha 90.00
_cell_angle_beta 90.00
_cell_angle_gamma 90.00
_space_group_name_H-M_alt 'I -4 2 m'
_space_group_IT_number 121
_space_group_name_Hall 'I -4 2'
loop_
_atom_site_label
_atom_site_type_symbol
_atom_site_fract_x
_atom_site_fract_y
_atom_site_fract_z
Ba1 Ba 0.000 0.000 0.000
Ba2 Ba 0.000 0.500 0.250
Nd1 Nd 0.000 0.000 0.500
Sn1 Sn 0.155 0.155 0.718
Sn2 Sn 0.227 0.227 0.432
# Energy of formation from the pure elements: -0.2177 eV/atom
# Electronic total energy: -45.2 eV/f.u.

=====

What is the electronic total energy in the fifth record? -89.2 eV/f.u.